# 1
First-principles (PBE-GGA) data for a relaxed structure of ZrAgTe4, as listed in the Alexandria database.

Output
Crystal system: orthorhombic
Space-group type: Cmcm, No. 63
Excess energy over the best structure of this formula in the dataset, meV per atom: 0
Formation energy (no corrections), eV/atom: -0.19

a b c (Å): 5.917 5.917 10.556
angles (deg): 90.00 90.00 82.38
Sites, in units of the cell vectors:
Zr: 0.047 0.953 0.750
Zr: 0.953 0.047 0.250
Ag: 0.449 0.551 0.750
Ag: 0.551 0.449 0.250
Te: 0.068 0.528 0.250
Te: 0.244 0.756 0.524
Te: 0.244 0.756 0.976
Te: 0.472 0.932 0.250
Te: 0.528 0.068 0.750
Te: 0.756 0.244 0.024
Te: 0.756 0.244 0.476
Te: 0.932 0.472 0.750

***

# 2
First-principles (PBE-GGA) data for a relaxed structure of ZrAg2Te, as listed in the Alexandria database.

Output
Crystal system: tetragonal
Space-group type: P4/mmm, No. 123
Excess energy over the best structure of this formula in the dataset, meV per atom: 150
Formation energy (no corrections), eV/atom: -0.06

a b c (Å): 3.909 3.909 5.755
angles (deg): 90.00 90.00 90.00
Sites, in units of the cell vectors:
Zr: 0.000 0.000 0.000
Ag: 0.500 0.500 0.239
Ag: 0.500 0.500 0.761
Te: 0.000 0.000 0.500

***

# 3
First-principles (PBE-GGA) data for a relaxed structure of ZrAg2Te, as listed in the Alexandria database.

Output
Crystal system: tetragonal
Space-group type: I-4m2, No. 119
Excess energy over the best structure of this formula in the dataset, meV per atom: 181
Formation energy (no corrections), eV/atom: -0.03

a b c (Å): 5.383 5.383 5.383
angles (deg): 131.73 131.73 70.66
Sites, in units of the cell vectors:
Zr: 0.000 0.000 0.000
Ag: 0.250 0.750 0.500
Ag: 0.500 0.500 0.000
Te: 0.750 0.250 0.500

***

# 4
First-principles (PBE-GGA) data for a relaxed structure of ZrAg3Te, as listed in the Alexandria database.

Output
Crystal system: cubic
Space-group type: Pm-3m, No. 221
Excess energy over the best structure of this formula in the dataset, meV per atom: 0
Formation energy (no corrections), eV/atom: 0.94

a b c (Å): 5.158 5.158 5.158
angles (deg): 90.00 90.00 90.00
Sites, in units of the cell vectors:
Zr: 0.000 0.000 0.000
Ag: 0.000 0.500 0.500
Ag: 0.500 0.000 0.500
Ag: 0.500 0.500 0.000
Te: 0.500 0.500 0.500

***

# 5
First-principles (PBE-GGA) data for a relaxed structure of ZrAg2Te4, as listed in the Alexandria database.

Output
Crystal system: orthorhombic
Space-group type: Cmcm, No. 63
Formation energy (no corrections), eV/atom: -0.30

a b c (Å): 7.543 7.543 13.304
angles (deg): 90.00 90.00 149.43
Sites, in units of the cell vectors:
Zr: 0.105 0.895 0.750
Zr: 0.895 0.105 0.250
Ag: 0.366 0.634 0.569
Ag: 0.366 0.634 0.931
Ag: 0.634 0.366 0.069
Ag: 0.634 0.366 0.431
Te: 0.000 0.000 0.000
Te: 0.000 0.000 0.500
Te: 0.294 0.706 0.125
Te: 0.294 0.706 0.375
Te: 0.456 0.544 0.750
Te: 0.544 0.456 0.250
Te: 0.706 0.294 0.625
Te: 0.706 0.294 0.875

***

# 6
First-principles (PBE-GGA) data for a relaxed structure of ZrAg4Te, as listed in the Alexandria database.

Output
Crystal system: cubic
Space-group type: F-43m, No. 216
Formation energy (no corrections), eV/atom: 0.13

a b c (Å): 5.592 5.592 5.592
angles (deg): 60.00 60.00 60.00
Sites, in units of the cell vectors:
Zr: 0.000 0.000 0.000
Ag: 0.124 0.625 0.625
Ag: 0.625 0.124 0.625
Ag: 0.625 0.625 0.124
Ag: 0.625 0.625 0.625
Te: 0.250 0.250 0.250

***

# 7
First-principles (PBE-GGA) data for a relaxed structure of Zr2AgTe, as listed in the Alexandria database.

Output
Crystal system: cubic
Space-group type: Fm-3m, No. 225
Excess energy over the best structure of this formula in the dataset, meV per atom: 58
Formation energy (no corrections), eV/atom: -0.25

a b c (Å): 4.951 4.951 4.951
angles (deg): 60.00 60.00 60.00
Sites, in units of the cell vectors:
Zr: 0.250 0.250 0.250
Zr: 0.750 0.750 0.750
Ag: 0.000 0.000 0.000
Te: 0.500 0.500 0.500

***

# 8
First-principles (PBE-GGA) data for a relaxed structure of Zr2AgTe, as listed in the Alexandria database.

Output
Crystal system: monoclinic
Space-group type: C2/m, No. 12
Excess energy over the best structure of this formula in the dataset, meV per atom: 124
Formation energy (no corrections), eV/atom: -0.19

a b c (Å): 4.217 4.217 6.760
angles (deg): 106.07 106.07 56.31
Sites, in units of the cell vectors:
Zr: 0.247 0.247 0.238
Zr: 0.753 0.753 0.762
Ag: 0.500 0.500 0.000
Te: 0.000 0.000 0.500

***

| no. | DOS at the Fermi energy (states/eV/f.u.) | density (g/cm3) |
| --- | --- | --- |
| 1 | 3.28 | 6.4 |
| 2 | 3.22 | 8.2 |
| 3 | 4.69 | 8.5 |
| 4 | 4.02 | 6.6 |
| 5 | 4.41 | 7.1 |
| 6 | 4.85 | 8.7 |
| 7 | 2.29 | 8.1 |
| 8 | 3.99 | 7.3 |